[1]
13
Lattice="-6.274 6.274 2.641 6.274 -6.274 2.641 6.274 6.274 -2.641" Properties=species:S:1:pos:R:3 comment="Pr4Sm5Tl4 (PBE-GGA, relaxed)" ef_kj_per_mol_fu=-305.4 rho_g_cm3=8.5 magnetic_moment_mub_per_fu=0.00 space_group="I4/m (87)" pbc="T T T"
Pr 4.816 1.196 0.000
Pr 5.079 -1.458 2.641
Pr 1.196 7.733 0.000
Pr 1.458 5.079 2.641
Sm 0.000 0.000 0.000
Sm 7.511 3.929 0.000
Sm 3.929 5.038 0.000
Sm 2.345 1.237 2.641
Sm -1.237 2.345 2.641
Tl 9.674 1.400 0.000
Tl 1.400 2.875 0.000
Tl 4.874 3.400 2.641
Tl -3.400 4.874 2.641

---

[2]
20
Lattice="5.344 -7.808 0.000 5.344 7.808 0.000 0.000 0.000 7.906" Properties=species:S:1:pos:R:3 comment="PrSm6Tl3 (PBE-GGA, relaxed)" ef_kj_per_mol_fu=-102.0 rho_g_cm3=8.3 magnetic_moment_mub_per_fu=0.00 space_group="Cmc2_1 (36)" pbc="T T T"
Pr 5.344 4.473 3.953
Pr 5.344 -4.473 0.000
Sm 5.344 7.063 1.689
Sm 2.826 2.947 5.608
Sm 2.878 0.535 0.182
Sm 5.344 3.146 0.317
Sm 2.878 -0.535 4.135
Sm 2.826 -2.947 1.655
Sm 7.862 2.947 5.608
Sm 7.810 0.535 0.182
Sm 5.344 -3.146 4.270
Sm 7.810 -0.535 4.135
Sm 7.862 -2.947 1.655
Sm 5.344 -7.063 5.642
Tl 1.608 2.060 2.757
Tl 1.608 -2.060 6.710
Tl 5.344 0.857 5.793
Tl 5.344 -0.857 1.840
Tl 9.080 2.060 2.757
Tl 9.080 -2.060 6.710

---

[3]
4
Lattice="0.000 3.995 3.995 3.995 0.000 3.995 3.995 3.995 0.000" Properties=species:S:1:pos:R:3 comment="Pr2SmTl (PBE-GGA, relaxed)" ef_kj_per_mol_fu=-24.4 rho_g_cm3=8.3 magnetic_moment_mub_per_fu=1.38 space_group="Fm-3m (225)" pbc="T T T"
Pr 1.998 1.998 1.998
Pr 5.993 5.993 5.993
Sm 0.000 0.000 0.000
Tl 3.995 3.995 3.995